Record 1
# Sm4SiPCl2 | Alexandria via LeMat-Bulk | PBE | relaxed
data_Sm4SiPCl2
_chemical_formula_sum 'Sm4 Si1 P1 Cl2'
_cell_length_a 7.1492
_cell_length_b 4.1331
_cell_length_c 7.3036
_cell_angle_alpha 90.00
_cell_angle_beta 109.12
_cell_angle_gamma 90.00
_symmetry_space_group_name_H-M 'P 1 2/m 1'
_symmetry_Int_Tables_number 10
loop_
_symmetry_equiv_pos_as_xyz
'x,y,z'
'-x,-y,-z'
'-x,y,-z'
'x,-y,z'
loop_
_atom_site_label
_atom_site_fract_x
_atom_site_fract_y
_atom_site_fract_z
Sm1 0.2354 0.0000 0.2149
Sm2 0.2573 0.5000 0.7812
Si1 0.5000 0.0000 0.0000
P1 0.0000 0.5000 0.0000
Cl1 0.0000 0.0000 0.5000
Cl2 0.5000 0.5000 0.5000
# Size of the total moment, Bohr magnetons per cell: 0.00
# N(E_F), states/eV/f.u.: 3.39
# E_form (uncorrected), eV/f.u.: -11.1

---

Record 2
# Y2Ho3Er8 | Alexandria via LeMat-Bulk | PBE | relaxed
data_Y2Ho3Er8
_chemical_formula_sum 'Y4 Ho6 Er16'
_cell_length_a 7.5384
_cell_length_b 20.2868
_cell_length_c 5.5356
_cell_angle_alpha 90.00
_cell_angle_beta 90.00
_cell_angle_gamma 90.00
_symmetry_space_group_name_H-M 'C m m m'
_symmetry_Int_Tables_number 65
_symmetry_space_group_name_Hall '-C 2 2'
loop_
_atom_site_label
_atom_site_fract_x
_atom_site_fract_y
_atom_site_fract_z
Y1 0.0000 0.2414 0.0000
Ho1 0.0000 0.0000 0.0000
Ho2 0.2154 0.5000 0.5000
Er1 0.0000 0.1314 0.5000
Er2 0.0000 0.3359 0.5000
Er3 0.2128 0.3919 0.0000
# Size of the total moment, Bohr magnetons per cell: 0.00
# N(E_F), states/eV/f.u.: 22.79
# DFT formation energy, eV/atom: 0.24

---

Record 3
# Zn2ReP | Alexandria via LeMat-Bulk | PBE | relaxed
data_Zn2ReP
_chemical_formula_sum 'Zn2 Re1 P1'
_cell_length_a 3.4391
_cell_length_b 3.4391
_cell_length_c 4.8341
_cell_angle_alpha 90.00
_cell_angle_beta 90.00
_cell_angle_gamma 90.00
_symmetry_space_group_name_H-M 'P 4/m m m'
_symmetry_Int_Tables_number 123
_symmetry_space_group_name_Hall '-P 4 2'
loop_
_atom_site_label
_atom_site_fract_x
_atom_site_fract_y
_atom_site_fract_z
Zn1 0.0000 0.0000 0.2492
Re1 0.5000 0.5000 0.0000
P1 0.5000 0.5000 0.5000
# Size of the total moment, Bohr magnetons per cell: 0.00
# N(E_F), states/eV/f.u.: 2.07
# DFT formation energy, eV/atom: 0.22

---

Record 4
# Pm12Pd3C5 | Alexandria via LeMat-Bulk | PBE | relaxed
data_Pm12Pd3C5
_chemical_formula_sum 'Pm96 Pd24 C40'
_cell_length_a 15.9675
_cell_length_b 15.9675
_cell_length_c 15.9675
_cell_angle_alpha 90.00
_cell_angle_beta 90.00
_cell_angle_gamma 90.00
_symmetry_space_group_name_H-M 'I a -3 d'
_symmetry_Int_Tables_number 230
_symmetry_space_group_name_Hall '-I 4bd 2c 3'
loop_
_atom_site_label
_atom_site_fract_x
_atom_site_fract_y
_atom_site_fract_z
Pm1 0.0303 0.0554 0.6495
Pd1 0.0000 0.2500 0.1250
C1 0.0000 0.0000 0.0000
C2 0.0000 0.2500 0.3750
# Size of the total moment, Bohr magnetons per cell: 0.00
# N(E_F), states/eV/f.u.: 15.96
# DFT formation energy, eV/atom: -0.15

---

Record 5
# Al2RhW | Alexandria via LeMat-Bulk | PBE | relaxed
data_Al2RhW
_chemical_formula_sum 'Al2 Rh1 W1'
_cell_length_a 2.9250
_cell_length_b 2.9250
_cell_length_c 6.7575
_cell_angle_alpha 90.00
_cell_angle_beta 90.00
_cell_angle_gamma 90.00
_symmetry_space_group_name_H-M 'P 4/m m m'
_symmetry_Int_Tables_number 123
_symmetry_space_group_name_Hall '-P 4 2'
loop_
_atom_site_label
_atom_site_fract_x
_atom_site_fract_y
_atom_site_fract_z
Al1 0.0000 0.0000 0.2255
Rh1 0.5000 0.5000 0.0000
W1 0.5000 0.5000 0.5000
# Size of the total moment, Bohr magnetons per cell: 0.00
# N(E_F), states/eV/f.u.: 2.53
# DFT formation energy, eV/atom: -0.45

---

Record 6
# CrGa2Fe | Alexandria via LeMat-Bulk | PBE | relaxed
data_CrGa2Fe
_chemical_formula_sum 'Cr1 Ga2 Fe1'
_cell_length_a 3.8108
_cell_length_b 3.8108
_cell_length_c 3.6881
_cell_angle_alpha 90.00
_cell_angle_beta 90.00
_cell_angle_gamma 90.00
_symmetry_space_group_name_H-M 'P 4/m m m'
_symmetry_Int_Tables_number 123
_symmetry_space_group_name_Hall '-P 4 2'
loop_
_atom_site_label
_atom_site_fract_x
_atom_site_fract_y
_atom_site_fract_z
Cr1 0.0000 0.0000 0.0000
Ga1 0.0000 0.5000 0.5000
Fe1 0.5000 0.5000 0.0000
# Size of the total moment, Bohr magnetons per cell: 4.42
# N(E_F), states/eV/f.u.: 2.56
# DFT formation energy, eV/atom: -0.01